Record 1
A geometry-optimized Ti4BeN structure. Source: Alexandria via LeMat-Bulk, functional PBE.

## Properties
Density of states at the Fermi level in states/eV/f.u.: 4.22
E_form (uncorrected) in eV per formula unit: -2.8
Total magnetic moment in Bohr magnetons per cell: 0.00
VASP energy in eV per atom: -7.735

Cell: 5.084 6.277 5.792 Å, 113.02 90.00 90.00°
Sites, in units of the cell vectors:
Be1 0.000 0.500 0.500
Be2 0.500 0.000 0.500
Ti1 0.783 0.230 0.871
Ti2 0.182 0.859 0.670
Ti3 0.318 0.359 0.670
Ti4 0.217 0.770 0.129
Ti5 0.818 0.141 0.330
Ti6 0.717 0.730 0.871
Ti7 0.682 0.641 0.330
Ti8 0.283 0.270 0.129
N1 0.500 0.500 0.000
N2 0.000 0.000 0.000

---

Record 2
A geometry-optimized Ti3BeN structure. Source: Alexandria via LeMat-Bulk, functional PBE.

## Properties
ΔE to the lowest computed polymorph in eV/atom: 0.0901
Density of states at the Fermi level in states/eV/f.u.: 3.23
E_form (uncorrected) in eV per formula unit: -3.8
Total magnetic moment in Bohr magnetons per cell: 0.00
VASP energy in eV per atom: -7.913

Cell: 4.053 4.053 4.053 Å, 90.00 90.00 90.00°
Sites, in units of the cell vectors:
Ti1 0.000 0.000 0.500
Ti2 0.000 0.500 0.000
Ti3 0.500 0.000 0.000
Be1 0.500 0.500 0.500
N1 0.000 0.000 0.000

---

Record 3
A geometry-optimized TiBe3N structure. Source: Alexandria via LeMat-Bulk, functional PBE.

## Properties
ΔE to the lowest computed polymorph in eV/atom: 2.4890
Density of states at the Fermi level in states/eV/f.u.: 2.74
E_form (uncorrected) in eV per formula unit: 13.6
Total magnetic moment in Bohr magnetons per cell: 0.91
VASP energy in eV per atom: -2.770

Cell: 4.692 4.692 4.692 Å, 90.00 90.00 90.00°
Last column: magnetic moment on the atom in μB.
Sites, in units of the cell vectors:
Be1 0.500 0.000 0.000  -0.21
Be2 0.000 0.000 0.500  -0.08
Be3 0.000 0.500 0.000  -0.12
Ti1 0.000 0.000 0.000  -1.53
N1 0.500 0.500 0.500  1.46

---

Record 4
A geometry-optimized TiBeN structure. Source: Alexandria via LeMat-Bulk, functional PBE.

## Properties
ΔE to the lowest computed polymorph in eV/atom: 0.1283
Density of states at the Fermi level in states/eV/f.u.: 2.27
E_form (uncorrected) in eV per formula unit: -2.8
Total magnetic moment in Bohr magnetons per cell: 0.01
VASP energy in eV per atom: -7.572

Cell: 2.913 2.913 11.244 Å, 90.00 90.00 120.00°
Sites, in units of the cell vectors:
N1 0.667 0.333 0.815
N2 0.000 0.000 0.482
N3 0.333 0.667 0.148
Be1 0.333 0.667 0.450
Be2 0.667 0.333 0.117
Be3 0.000 0.000 0.784
Ti1 0.000 0.000 0.284
Ti2 0.667 0.333 0.617
Ti3 0.333 0.667 0.950

---

Record 5
A geometry-optimized TiBe2N2 structure. Source: Alexandria via LeMat-Bulk, functional PBE.

## Properties
ΔE to the lowest computed polymorph in eV/atom: 0.1049
Density of states at the Fermi level in states/eV/f.u.: 0.34
E_form (uncorrected) in eV per formula unit: -3.3
Total magnetic moment in Bohr magnetons per cell: 0.00
VASP energy in eV per atom: -7.062

Cell: 5.931 5.931 3.107 Å, 90.00 90.00 90.00°
Sites, in units of the cell vectors:
Be1 0.737 0.763 0.500
Be2 0.763 0.263 0.500
Be3 0.237 0.737 0.500
Be4 0.263 0.237 0.500
Ti1 0.000 0.000 0.000
Ti2 0.500 0.500 0.000
N1 0.741 0.759 0.000
N2 0.759 0.259 0.000
N3 0.259 0.241 0.000
N4 0.241 0.741 0.000

---

Record 6
A geometry-optimized Ti8BeN2 structure. Source: Alexandria via LeMat-Bulk, functional PBE.

## Properties
Density of states at the Fermi level in states/eV/f.u.: 9.12
E_form (uncorrected) in eV per formula unit: -4.8
Total magnetic moment in Bohr magnetons per cell: 0.00
VASP energy in eV per atom: -8.032

Cell: 4.516 6.226 6.226 Å, 66.26 94.57 94.57°
Sites, in units of the cell vectors:
N1 0.205 0.140 0.140
N2 0.795 0.860 0.860
Ti1 0.238 0.389 0.809
Ti2 0.246 0.335 0.335
Ti3 0.762 0.611 0.191
Ti4 0.762 0.191 0.611
Ti5 0.754 0.665 0.665
Ti6 0.297 0.833 0.833
Ti7 0.238 0.809 0.389
Ti8 0.703 0.167 0.167
Be1 0.000 0.000 0.000

---

Copy entry 4 word for word.
A geometry-optimized TiBeN structure. Source: Alexandria via LeMat-Bulk, functional PBE.

## Properties
ΔE to the lowest computed polymorph in eV/atom: 0.1283
Density of states at the Fermi level in states/eV/f.u.: 2.27
E_form (uncorrected) in eV per formula unit: -2.8
Total magnetic moment in Bohr magnetons per cell: 0.01
VASP energy in eV per atom: -7.572

Cell: 2.913 2.913 11.244 Å, 90.00 90.00 120.00°
Sites, in units of the cell vectors:
N1 0.667 0.333 0.815
N2 0.000 0.000 0.482
N3 0.333 0.667 0.148
Be1 0.333 0.667 0.450
Be2 0.667 0.333 0.117
Be3 0.000 0.000 0.784
Ti1 0.000 0.000 0.284
Ti2 0.667 0.333 0.617
Ti3 0.333 0.667 0.950

---

Which value of total magnetic moment does entry 4 give? 0.01 Bohr magnetons per cell

---

total magnetic moment of number 2 (Ti3BeN)? 0.00 Bohr magnetons per cell